Model w:
Entry from Alexandria: a relaxed Cu5P2O12 crystal (PBE).

Output
The crystal system is monoclinic.

Geometry as POSCAR:
```
Cu5P2O12
1.0
10.387 0.000 0.000
0.000 4.613 0.019
0.000 0.481 8.910
P O Cu
4 24 10
direct
0.806 0.480 0.111
0.306 0.520 0.389
0.694 0.480 0.611
0.194 0.520 0.889
0.295 0.337 0.982
0.216 0.741 0.292
0.886 0.665 0.210
0.114 0.335 0.790
0.620 0.300 0.498
0.205 0.337 0.482
0.080 0.866 0.574
0.912 0.866 0.832
0.795 0.663 0.518
0.614 0.665 0.710
0.705 0.663 0.018
0.088 0.134 0.168
0.920 0.134 0.426
0.880 0.300 0.998
0.580 0.134 0.926
0.420 0.866 0.074
0.284 0.741 0.792
0.120 0.700 0.002
0.588 0.866 0.332
0.412 0.134 0.668
0.386 0.335 0.290
0.716 0.259 0.208
0.784 0.259 0.708
0.380 0.700 0.502
0.070 0.953 0.364
0.000 0.000 0.000
0.930 0.047 0.636
0.570 0.047 0.136
0.500 0.000 0.500
0.763 0.965 0.367
0.263 0.035 0.133
0.430 0.953 0.864
0.737 0.965 0.867
0.237 0.035 0.633
```



Model x:
Entry from Alexandria: a relaxed Cu5P2O12 crystal (PBE).

Output
The crystal system is monoclinic.

Geometry as POSCAR:
```
Cu5P2O12
1.0
6.279 0.000 0.000
-3.140 4.367 -1.820
0.000 0.790 8.795
Cu O P
5 12 2
direct
0.280 0.560 0.737
0.623 0.246 0.600
0.377 0.754 0.400
0.720 0.440 0.263
0.000 0.000 0.500
0.845 0.277 0.096
0.048 0.095 0.894
0.155 0.723 0.904
0.952 0.905 0.106
0.342 0.292 0.606
0.569 0.723 0.904
0.431 0.277 0.096
0.950 0.292 0.606
0.050 0.708 0.394
0.568 0.137 0.372
0.432 0.863 0.628
0.658 0.708 0.394
0.814 0.000 0.000
0.186 0.000 0.000
```



Model y:
Entry from Alexandria: a relaxed Cu5P2O12 crystal (PBE).

Output
The crystal system is triclinic.

Geometry as POSCAR:
```
Cu5P2O12
1.0
2.391 2.577 -2.941
4.344 -3.637 1.189
-3.982 -3.633 -6.421
Cu O P
5 12 2
direct
0.000 0.500 0.500
0.000 0.500 0.000
0.941 0.042 0.670
0.059 0.958 0.330
0.000 0.000 0.000
0.690 0.448 0.737
0.712 0.900 0.818
0.313 0.682 0.929
0.863 0.803 0.475
0.137 0.197 0.525
0.313 0.689 0.628
0.687 0.311 0.372
0.877 0.784 0.126
0.123 0.216 0.874
0.687 0.318 0.071
0.310 0.552 0.263
0.288 0.100 0.182
0.500 0.652 0.772
0.500 0.348 0.228
```



model w ends up most stable, edging out the next structure by 0.006 eV/atom.



Model w:
Entry from Alexandria: a relaxed Cu2PO5 crystal (PBE).

Output
The crystal system is orthorhombic.

Geometry as POSCAR:
```
Cu2PO5
1.0
3.808 0.000 0.000
-1.904 4.853 0.000
0.000 0.000 8.984
O Cu P
10 4 2
direct
0.924 0.847 0.622
0.076 0.153 0.378
0.681 0.363 0.613
0.319 0.637 0.387
0.268 0.537 0.750
0.076 0.153 0.122
0.732 0.463 0.250
0.924 0.847 0.878
0.681 0.363 0.887
0.319 0.637 0.113
0.145 0.291 0.581
0.855 0.709 0.081
0.855 0.709 0.419
0.145 0.291 0.919
0.192 0.385 0.250
0.808 0.615 0.750
```



Model x:
Entry from Alexandria: a relaxed Cu2PO5 crystal (PBE).

Output
The crystal system is orthorhombic.

Geometry as POSCAR:
```
Cu2PO5
1.0
-0.952 0.499 -5.696
-7.347 -3.050 0.961
-3.116 7.888 1.212
P O Cu
4 20 8
direct
0.000 0.728 0.253
0.500 0.772 0.753
0.500 0.228 0.247
0.000 0.272 0.747
0.000 0.594 0.118
0.500 0.094 0.382
0.720 0.334 0.257
0.780 0.166 0.757
0.220 0.166 0.757
0.000 0.631 0.414
0.000 0.878 0.920
0.500 0.869 0.914
0.500 0.622 0.420
0.220 0.834 0.243
0.500 0.906 0.618
0.500 0.131 0.086
0.000 0.369 0.586
0.000 0.406 0.882
0.500 0.378 0.580
0.000 0.122 0.080
0.280 0.666 0.743
0.280 0.334 0.257
0.720 0.666 0.743
0.780 0.834 0.243
0.247 0.000 0.000
0.747 0.500 0.500
0.500 0.152 0.616
0.253 0.500 0.500
0.000 0.348 0.116
0.500 0.848 0.384
0.000 0.652 0.884
0.753 0.000 0.000
```



model x ends up most stable, edging out the next structure by 0.257 eV/atom.



Model w:
Entry from Alexandria: a relaxed Cu4P2O9 crystal (PBE).

Output
The crystal system is orthorhombic.

Geometry as POSCAR:
```
Cu4P2O9
1.0
6.391 0.000 0.000
0.000 8.155 0.000
0.000 0.000 13.608
Cu O P
16 36 8
direct
0.750 0.562 0.089
0.250 0.438 0.911
0.008 0.851 0.158
0.992 0.649 0.658
0.250 0.144 0.051
0.508 0.649 0.658
0.250 0.938 0.589
0.992 0.149 0.842
0.750 0.356 0.551
0.250 0.644 0.449
0.508 0.149 0.842
0.750 0.062 0.411
0.750 0.856 0.949
0.008 0.351 0.342
0.492 0.851 0.158
0.492 0.351 0.342
0.551 0.389 0.849
0.250 0.380 0.069
0.750 0.334 0.094
0.047 0.416 0.638
0.750 0.620 0.931
0.051 0.111 0.349
0.250 0.401 0.255
0.250 0.880 0.431
0.551 0.889 0.651
0.453 0.916 0.862
0.250 0.901 0.245
0.953 0.084 0.138
0.449 0.111 0.349
0.250 0.166 0.594
0.949 0.889 0.651
0.449 0.611 0.151
0.250 0.909 0.023
0.051 0.611 0.151
0.750 0.120 0.569
0.750 0.797 0.095
0.949 0.389 0.849
0.750 0.591 0.523
0.750 0.297 0.405
0.047 0.916 0.862
0.750 0.099 0.755
0.547 0.084 0.138
0.750 0.834 0.406
0.453 0.416 0.638
0.250 0.666 0.906
0.547 0.584 0.362
0.750 0.091 0.977
0.250 0.703 0.595
0.250 0.203 0.905
0.953 0.584 0.362
0.750 0.599 0.745
0.250 0.409 0.477
0.250 0.851 0.914
0.750 0.649 0.414
0.250 0.502 0.156
0.750 0.149 0.086
0.250 0.351 0.586
0.250 0.002 0.344
0.750 0.998 0.656
0.750 0.498 0.844
```



Model x:
Entry from Alexandria: a relaxed Cu4P2O9 crystal (PBE).

Output
The crystal system is triclinic.

Geometry as POSCAR:
```
Cu4P2O9
1.0
-4.964 3.722 1.047
-3.143 -6.576 2.678
5.821 1.230 5.558
O Cu P
18 8 4
direct
0.331 0.075 0.184
0.512 0.267 0.035
0.247 0.213 0.534
0.689 0.275 0.800
0.874 0.693 0.970
0.108 0.973 0.730
0.753 0.787 0.466
0.126 0.307 0.030
0.311 0.725 0.200
0.892 0.027 0.270
0.669 0.925 0.816
0.488 0.733 0.965
0.520 0.589 0.667
0.156 0.781 0.461
0.026 0.635 0.677
0.844 0.219 0.539
0.480 0.411 0.333
0.974 0.365 0.323
0.145 0.905 0.259
0.837 0.319 0.063
0.855 0.095 0.741
0.617 0.849 0.235
0.356 0.621 0.410
0.383 0.151 0.765
0.644 0.379 0.590
0.163 0.681 0.937
0.642 0.737 0.849
0.358 0.263 0.151
0.008 0.788 0.580
0.992 0.212 0.420
```



model w ends up most stable, edging out the next structure by 0.006 eV/atom.



Model w:
Entry from Alexandria: a relaxed Cu3PO6 crystal (PBE).

Output
The crystal system is orthorhombic.

Geometry as POSCAR:
```
Cu3PO6
1.0
-1.125 0.578 -5.016
3.719 -5.926 -1.517
-6.870 -1.473 1.371
O P Cu
12 2 6
direct
0.302 0.359 0.321
0.802 0.321 0.359
0.571 0.579 0.103
0.302 0.679 0.641
0.802 0.641 0.679
0.669 0.909 0.091
0.571 0.897 0.421
0.689 0.171 0.829
0.071 0.103 0.579
0.189 0.829 0.171
0.071 0.421 0.897
0.169 0.091 0.909
0.983 0.199 0.801
0.483 0.801 0.199
0.049 0.510 0.490
0.424 0.941 0.678
0.424 0.322 0.059
0.549 0.490 0.510
0.924 0.059 0.322
0.924 0.678 0.941
```



Model x:
Entry from Alexandria: a relaxed Cu3PO6 crystal (PBE).

Output
The crystal system is trigonal.

Geometry as POSCAR:
```
Cu3PO6
1.0
5.818 0.069 0.070
-0.058 5.818 0.070
-0.058 -0.059 5.818
O Cu P
12 6 2
direct
0.952 0.713 0.049
0.462 0.560 0.787
0.049 0.952 0.713
0.538 0.440 0.213
0.787 0.462 0.560
0.440 0.213 0.538
0.048 0.287 0.951
0.951 0.048 0.287
0.560 0.787 0.462
0.713 0.049 0.952
0.287 0.951 0.048
0.213 0.538 0.440
0.444 0.911 0.755
0.755 0.444 0.911
0.245 0.556 0.089
0.911 0.755 0.444
0.089 0.245 0.556
0.556 0.089 0.245
0.000 0.000 0.000
0.500 0.500 0.500
```



model w ends up most stable, edging out the next structure by 0.128 eV/atom.



Model w:
Entry from Alexandria: a relaxed CuPPbO2 crystal (PBE).

Output
The crystal system is tetragonal.

Geometry as POSCAR:
```
CuPPbO2
1.0
-3.592 1.552 -0.417
-1.479 -2.795 2.343
0.742 2.711 3.703
Pb Cu O P
1 1 2 1
direct
0.500 0.500 0.500
0.000 0.000 0.000
0.000 0.500 0.000
0.500 0.000 0.000
0.000 0.000 0.500
```



Model x:
Entry from Alexandria: a relaxed CuPPbO2 crystal (PBE).

Output
The crystal system is tetragonal.

Geometry as POSCAR:
```
CuPPbO2
1.0
4.068 0.000 0.000
0.000 4.068 0.000
0.000 0.000 5.808
Pb O P Cu
1 2 1 1
direct
0.000 0.000 0.000
0.000 0.500 0.000
0.500 0.000 0.000
0.000 0.000 0.500
0.500 0.500 0.500
```



model w ends up most stable, edging out the next structure by 0.471 eV/atom.



Model w:
Entry from Alexandria: a relaxed CuPPdO2 crystal (PBE).

Output
The crystal system is tetragonal.

Geometry as POSCAR:
```
CuPPdO2
1.0
-2.458 -0.814 -2.543
2.642 -1.239 -2.157
-0.543 -4.678 2.022
O Pd P Cu
2 1 1 1
direct
0.500 0.000 0.000
0.000 0.500 0.000
0.500 0.500 0.500
0.000 0.000 0.500
0.000 0.000 0.000
```



Model x:
Entry from Alexandria: a relaxed CuPPdO2 crystal (PBE).

Output
The crystal system is tetragonal.

Geometry as POSCAR:
```
CuPPdO2
1.0
3.796 0.000 0.000
0.000 3.796 0.000
0.000 0.000 5.204
P Pd Cu O
1 1 1 2
direct
0.000 0.000 0.500
0.000 0.000 0.000
0.500 0.500 0.500
0.000 0.500 0.000
0.500 0.000 0.000
```



model w ends up most stable, edging out the next structure by 0.121 eV/atom.



Model w:
Entry from Alexandria: a relaxed CuP2PdO crystal (PBE).

Output
The crystal system is tetragonal.

Geometry as POSCAR:
```
CuP2PdO
1.0
-1.647 3.752 2.448
0.574 -2.410 4.080
3.511 1.345 0.301
Pd Cu P O
1 1 2 1
direct
0.000 0.000 0.000
0.500 0.500 0.500
0.500 0.000 0.000
0.000 0.500 0.000
0.000 0.000 0.500
```



Model x:
Entry from Alexandria: a relaxed CuP2PdO crystal (PBE).

Output
The crystal system is tetragonal.

Geometry as POSCAR:
```
CuP2PdO
1.0
4.635 0.000 0.000
0.000 4.635 0.000
0.000 0.000 3.481
Cu Pd P O
1 1 2 1
direct
0.000 0.000 0.000
0.500 0.500 0.500
0.000 0.500 0.000
0.500 0.000 0.000
0.000 0.000 0.500
```



model x ends up most stable, edging out the next structure by 0.247 eV/atom.



Model w:
Entry from Alexandria: a relaxed RbCuP2O crystal (PBE).

Output
The crystal system is tetragonal.

Geometry as POSCAR:
```
RbCuP2O
1.0
-3.515 -3.706 1.827
4.112 -3.374 1.066
0.317 1.613 3.881
P Cu O Rb
2 1 1 1
direct
0.500 0.000 0.000
0.000 0.500 0.000
0.500 0.500 0.500
0.000 0.000 0.500
0.000 0.000 0.000
```



Model x:
Entry from Alexandria: a relaxed RbCuP2O crystal (PBE).

Output
The crystal system is tetragonal.

Geometry as POSCAR:
```
RbCuP2O
1.0
4.490 0.000 0.000
0.000 4.490 0.000
0.000 0.000 4.809
Rb O P Cu
1 1 2 1
direct
0.500 0.500 0.500
0.000 0.000 0.500
0.000 0.500 0.000
0.500 0.000 0.000
0.000 0.000 0.000
```



model x ends up most stable, edging out the next structure by 1.513 eV/atom.